# Ca5Y (PBE, relaxed)
data_Ca5Y
_chemical_formula_sum 'Ca5 Y1'
_cell_length_a 9.843
_cell_length_b 9.843
_cell_length_c 4.066
_cell_angle_alpha 90.00
_cell_angle_beta 90.00
_cell_angle_gamma 143.21
_space_group_name_H-M_alt 'P 1'
_space_group_IT_number 1
_space_group_name_Hall 'P 1'
loop_
_atom_site_label
_atom_site_fract_x
_atom_site_fract_y
_atom_site_fract_z
Ca1 0.000 0.000 0.000
Ca2 0.167 0.833 0.500
Ca3 0.340 0.660 0.000
Ca4 0.660 0.340 0.000
Ca5 0.833 0.167 0.500
Y1 0.500 0.500 0.500
# DFT formation energy ... 0.082 eV/atom
# Mass density ... 2.04 Mg/m³
# Energy relative to the lowest polymorph listed for this composition ... 27 meV/atom